1.
Density functional theory data (PBE) for a geometry-optimized CaHF4 structure.

Total moment (μB per formula unit): 1.005

CIF file:
```
data_CaHF4
_chemical_formula_sum 'Ca2 H2 F8'
_cell_length_a 6.194
_cell_length_b 6.194
_cell_length_c 6.194
_cell_angle_alpha 114.03
_cell_angle_beta 114.03
_cell_angle_gamma 100.69
_symmetry_space_group_name_H-M 'P 1'
_symmetry_Int_Tables_number 1
loop_
_symmetry_equiv_pos_as_xyz
'x,y,z'
loop_
_atom_site_label
_atom_site_type_symbol
_atom_site_fract_x
_atom_site_fract_y
_atom_site_fract_z
F1 F 0.945 0.090 0.855
F2 F 0.340 0.985 0.645
F3 F 0.644 0.811 0.167
F4 F 0.727 0.394 0.333
F5 F 0.644 0.477 0.833
F6 F 0.235 0.090 0.145
F7 F 0.061 0.394 0.667
F8 F 0.340 0.695 0.355
H1 H 0.922 0.422 0.500
H2 H 0.672 0.672 0.000
Ca1 Ca 0.609 0.109 0.500
Ca2 Ca 0.359 0.359 0.000
```

***

2.
Density functional theory data (PBE) for a geometry-optimized CaHF4 structure.

Total moment (μB per formula unit): 1.006

CIF file:
```
data_CaHF4
_chemical_formula_sum 'Ca2 H2 F8'
_cell_length_a 4.494
_cell_length_b 6.011
_cell_length_c 8.173
_cell_angle_alpha 90.00
_cell_angle_beta 90.00
_cell_angle_gamma 132.84
_symmetry_space_group_name_H-M 'P 1'
_symmetry_Int_Tables_number 1
loop_
_symmetry_equiv_pos_as_xyz
'x,y,z'
loop_
_atom_site_label
_atom_site_type_symbol
_atom_site_fract_x
_atom_site_fract_y
_atom_site_fract_z
F1 F 0.001 0.660 0.034
F2 F 0.659 0.808 0.750
F3 F 0.341 0.192 0.250
F4 F 0.343 0.149 0.750
F5 F 0.999 0.340 0.534
F6 F 0.001 0.660 0.466
F7 F 0.657 0.851 0.250
F8 F 0.999 0.340 0.966
Ca1 Ca 0.004 0.610 0.750
Ca2 Ca 0.996 0.390 0.250
H1 H 0.000 0.014 0.750
H2 H 0.000 0.986 0.250
```

***

Q: Which of them is the most stable? A: 2.

***

1.
Density functional theory data (PBE) for a geometry-optimized CaH2F4 structure.

Total moment (μB per formula unit): 0.062

CIF file:
```
data_CaH2F4
_chemical_formula_sum 'Ca2 H4 F8'
_cell_length_a 5.897
_cell_length_b 5.895
_cell_length_c 6.640
_cell_angle_alpha 101.20
_cell_angle_beta 100.83
_cell_angle_gamma 124.74
_symmetry_space_group_name_H-M 'P 1'
_symmetry_Int_Tables_number 1
loop_
_symmetry_equiv_pos_as_xyz
'x,y,z'
loop_
_atom_site_label
_atom_site_type_symbol
_atom_site_fract_x
_atom_site_fract_y
_atom_site_fract_z
H1 H 0.565 0.815 0.140
H2 H 0.064 0.314 0.640
H3 H 0.675 0.424 0.860
H4 H 0.674 0.425 0.360
F1 F 0.356 0.608 0.183
F2 F 0.245 0.488 0.615
F3 F 0.425 0.173 0.817
F4 F 0.422 0.175 0.317
F5 F 0.739 0.996 0.116
F6 F 0.873 0.629 0.384
F7 F 0.880 0.622 0.884
F8 F 0.857 0.104 0.683
Ca1 Ca 0.113 0.113 0.000
Ca2 Ca 0.363 0.863 0.500
```

***

2.
Density functional theory data (PBE) for a geometry-optimized CaH2F4 structure.

Total moment (μB per formula unit): 0.000

CIF file:
```
data_CaH2F4
_chemical_formula_sum 'Ca1 H2 F4'
_cell_length_a 4.418
_cell_length_b 4.418
_cell_length_c 5.634
_cell_angle_alpha 66.91
_cell_angle_beta 66.91
_cell_angle_gamma 90.00
_symmetry_space_group_name_H-M 'P 1'
_symmetry_Int_Tables_number 1
loop_
_symmetry_equiv_pos_as_xyz
'x,y,z'
loop_
_atom_site_label
_atom_site_type_symbol
_atom_site_fract_x
_atom_site_fract_y
_atom_site_fract_z
H1 H 0.643 0.643 0.715
H2 H 0.357 0.357 0.285
F1 F 0.000 0.500 0.000
F2 F 0.743 0.743 0.513
F3 F 0.257 0.257 0.487
F4 F 0.500 0.000 0.000
Ca1 Ca 0.000 0.000 0.000
```

***

Q: Which of them is the most stable? A: 1.

***

1.
Density functional theory data (PBE) for a geometry-optimized CaHNF2 structure.

Total moment (μB per formula unit): 2.000

CIF file:
```
data_CaHNF2
_chemical_formula_sum 'Ca1 H1 N1 F2'
_cell_length_a 4.118
_cell_length_b 4.118
_cell_length_c 2.902
_cell_angle_alpha 90.00
_cell_angle_beta 90.00
_cell_angle_gamma 90.00
_symmetry_space_group_name_H-M 'P 1'
_symmetry_Int_Tables_number 1
loop_
_symmetry_equiv_pos_as_xyz
'x,y,z'
loop_
_atom_site_label
_atom_site_type_symbol
_atom_site_fract_x
_atom_site_fract_y
_atom_site_fract_z
Ca1 Ca 0.500 0.500 0.500
F1 F 0.500 0.000 0.000
F2 F 0.000 0.500 0.000
N1 N 0.000 0.000 0.500
H1 H 0.000 0.000 0.000
```

***

2.
Density functional theory data (PBE) for a geometry-optimized CaHNF2 structure.

Total moment (μB per formula unit): 4.040

CIF file:
```
data_CaHNF2
_chemical_formula_sum 'Ca1 H1 N1 F2'
_cell_length_a 4.379
_cell_length_b 4.379
_cell_length_c 5.889
_cell_angle_alpha 90.00
_cell_angle_beta 90.00
_cell_angle_gamma 90.00
_symmetry_space_group_name_H-M 'P 1'
_symmetry_Int_Tables_number 1
loop_
_symmetry_equiv_pos_as_xyz
'x,y,z'
loop_
_atom_site_label
_atom_site_type_symbol
_atom_site_fract_x
_atom_site_fract_y
_atom_site_fract_z
N1 N 0.000 0.000 0.500
H1 H 0.500 0.500 0.500
Ca1 Ca 0.000 0.000 0.000
F1 F 0.000 0.500 0.000
F2 F 0.500 0.000 0.000
```

***

Q: Which of them is the most stable? A: 1.

***

1.
Density functional theory data (PBE) for a geometry-optimized CaH2OF structure.

Total moment (μB per formula unit): 0.000

CIF file:
```
data_CaH2OF
_chemical_formula_sum 'Ca2 H4 O2 F2'
_cell_length_a 5.266
_cell_length_b 3.696
_cell_length_c 6.461
_cell_angle_alpha 90.00
_cell_angle_beta 111.84
_cell_angle_gamma 90.00
_symmetry_space_group_name_H-M 'P 1'
_symmetry_Int_Tables_number 1
loop_
_symmetry_equiv_pos_as_xyz
'x,y,z'
loop_
_atom_site_label
_atom_site_type_symbol
_atom_site_fract_x
_atom_site_fract_y
_atom_site_fract_z
O1 O 0.218 0.500 0.854
O2 O 0.218 0.000 0.354
H1 H 0.307 0.500 0.345
H2 H 0.418 0.500 0.931
H3 H 0.418 0.000 0.431
H4 H 0.307 0.000 0.845
Ca1 Ca 0.979 0.000 0.971
Ca2 Ca 0.979 0.500 0.471
F1 F 0.778 0.500 0.072
F2 F 0.778 0.000 0.572
```

***

2.
Density functional theory data (PBE) for a geometry-optimized CaH2OF structure.

Total moment (μB per formula unit): 0.000

CIF file:
```
data_CaH2OF
_chemical_formula_sum 'Ca1 H2 O1 F1'
_cell_length_a 3.542
_cell_length_b 3.624
_cell_length_c 4.381
_cell_angle_alpha 81.31
_cell_angle_beta 72.75
_cell_angle_gamma 74.05
_symmetry_space_group_name_H-M 'P 1'
_symmetry_Int_Tables_number 1
loop_
_symmetry_equiv_pos_as_xyz
'x,y,z'
loop_
_atom_site_label
_atom_site_type_symbol
_atom_site_fract_x
_atom_site_fract_y
_atom_site_fract_z
H1 H 0.695 0.545 0.564
H2 H 0.710 0.838 0.569
F1 F 0.329 0.654 0.105
O1 O 0.708 0.177 0.591
Ca1 Ca 0.005 0.259 0.999
```

***

3.
Density functional theory data (PBE) for a geometry-optimized CaH2OF structure.

Total moment (μB per formula unit): 0.157

CIF file:
```
data_CaH2OF
_chemical_formula_sum 'Ca1 H2 O1 F1'
_cell_length_a 3.605
_cell_length_b 4.228
_cell_length_c 4.395
_cell_angle_alpha 78.91
_cell_angle_beta 66.50
_cell_angle_gamma 65.04
_symmetry_space_group_name_H-M 'P 1'
_symmetry_Int_Tables_number 1
loop_
_symmetry_equiv_pos_as_xyz
'x,y,z'
loop_
_atom_site_label
_atom_site_type_symbol
_atom_site_fract_x
_atom_site_fract_y
_atom_site_fract_z
H1 H 0.170 0.649 0.060
H2 H 0.786 0.445 0.032
O1 O 0.711 0.688 0.949
Ca1 Ca 0.349 0.829 0.520
F1 F 0.684 0.216 0.466
```

***

Q: Which of them is the most stable? A: 2.